# 1
# TaMoBr2 (PBE-GGA, optimized geometry)
data_TaMoBr2
_symmetry_space_group_name_H-M 'P 1'
_symmetry_Int_Tables_number 1
_cell_length_a 10.276
_cell_length_b 10.276
_cell_length_c 10.276
_cell_angle_alpha 17.68
_cell_angle_beta 17.68
_cell_angle_gamma 17.68
loop_
_symmetry_equiv_pos_as_xyz
'x,y,z'
loop_
_atom_site_label
_atom_site_type_symbol
_atom_site_fract_x
_atom_site_fract_y
_atom_site_fract_z
_atom_site_occupancy
Br1 Br 0.022 0.022 0.022 1
Br2 Br 0.226 0.226 0.226 1
Mo1 Mo 0.499 0.499 0.499 1
Ta1 Ta 0.752 0.752 0.752 1
# V = 87.38 Å³/cell
# total magnetic moment = 0.0 μB/f.u.

***

# 2
# Ta3MoBr (PBE-GGA, optimized geometry)
data_Ta3MoBr
_symmetry_space_group_name_H-M 'P 1'
_symmetry_Int_Tables_number 1
_cell_length_a 4.667
_cell_length_b 4.667
_cell_length_c 4.667
_cell_angle_alpha 90.00
_cell_angle_beta 90.00
_cell_angle_gamma 90.00
loop_
_symmetry_equiv_pos_as_xyz
'x,y,z'
loop_
_atom_site_label
_atom_site_type_symbol
_atom_site_fract_x
_atom_site_fract_y
_atom_site_fract_z
_atom_site_occupancy
Ta1 Ta 0.000 0.500 0.000 1
Ta2 Ta 0.500 0.000 0.000 1
Ta3 Ta 0.000 0.000 0.500 1
Mo1 Mo 0.500 0.500 0.500 1
Br1 Br 0.000 0.000 0.000 1
# V = 101.63 Å³/cell
# total magnetic moment = 1.4 μB/f.u.

***

# 3
# TaMo2Br (PBE-GGA, optimized geometry)
data_TaMo2Br
_symmetry_space_group_name_H-M 'P 1'
_symmetry_Int_Tables_number 1
_cell_length_a 4.591
_cell_length_b 4.591
_cell_length_c 4.591
_cell_angle_alpha 60.00
_cell_angle_beta 60.00
_cell_angle_gamma 60.00
loop_
_symmetry_equiv_pos_as_xyz
'x,y,z'
loop_
_atom_site_label
_atom_site_type_symbol
_atom_site_fract_x
_atom_site_fract_y
_atom_site_fract_z
_atom_site_occupancy
Br1 Br 0.500 0.500 0.500 1
Mo1 Mo 0.000 0.000 0.000 1
Mo2 Mo 0.250 0.250 0.250 1
Ta1 Ta 0.750 0.750 0.750 1
# V = 68.41 Å³/cell
# total magnetic moment = 0.0 μB/f.u.

***

# 4
# Ta2MoBr (PBE-GGA, optimized geometry)
data_Ta2MoBr
_symmetry_space_group_name_H-M 'P 1'
_symmetry_Int_Tables_number 1
_cell_length_a 5.630
_cell_length_b 5.630
_cell_length_c 5.630
_cell_angle_alpha 146.83
_cell_angle_beta 132.61
_cell_angle_gamma 59.07
loop_
_symmetry_equiv_pos_as_xyz
'x,y,z'
loop_
_atom_site_label
_atom_site_type_symbol
_atom_site_fract_x
_atom_site_fract_y
_atom_site_fract_z
_atom_site_occupancy
Mo1 Mo 0.252 0.752 0.500 1
Br1 Br 0.473 0.473 0.000 1
Ta1 Ta 0.018 0.018 0.000 1
Ta2 Ta 0.757 0.257 0.500 1
# V = 71.22 Å³/cell
# total magnetic moment = 0.0 μB/f.u.

***

These records have VASP energy values of -0.2385, -0.2922, -0.2889, -0.3113 hartree per atom, in the order they appear.
These records have energy above the most stable polymorph in this dataset values of 14.0, 8.9, 55.8, 29.6 kJ per mole of atoms, in the order they appear.
These records have mass density values of 8.30, 11.74, 10.99, 12.54 g/cm3, in the order they appear.